Below is crystalline RhW3F at its relaxed geometry, with properties calculated at the PBE with a Hubbard U level.

Unit cell a=5.1049 b=5.1049 c=5.1049 alpha=90.00 beta=90.00 gamma=90.00
Last column: nearest neighbours and their distance in Å.
Space group Pm-3m (No. 221)
Inequivalent atoms, fractional coordinates:
Rh (0.0000, 0.0000, 0.0000) [1 per cell]  6 W 2.55
W (0.0000, 0.0000, 0.5000) [3 per cell]  2 Rh 2.55
F (0.5000, 0.5000, 0.5000) [1 per cell]  12 W 3.61

* E: -4.7844 eV/atom
* energy above the lowest structure with this stoichiometry: 0.148 eV per atom
* M_tot: 9.563 Bohr magnetons per cell